No. 1
## BaZnCu2 (PBE)

Data for crystalline BaZnCu2 at its relaxed geometry.

abc: 7.0771 7.0771 7.0771
angles: 90.00 90.00 90.00
Closest atoms and distances in Å follow each position.
Space group F-43m (No. 216)
Inequivalent atoms, fractional coordinates:
Ba  0.0000  0.0000  0.0000  4 Cu 3.06, 4 Zn 3.06
Zn  0.2500  0.2500  0.2500  4 Ba 3.06, 4 Cu 3.06
Cu  0.0000  0.0000  0.5000  4 Cu 3.06, 4 Zn 3.06
Cu  0.2500  0.2500  0.7500  4 Ba 3.06, 4 Cu 3.06

Values from the calculation:
Crystal system: cubic
DFT total energy, eV/atom: -2.398



No. 2
## Ba2Dy (PBE)

Data for crystalline Ba2Dy at its relaxed geometry.

abc: 10.4856 10.4856 10.4856
angles: 90.00 90.00 90.00
Closest atoms and distances in Å follow each position.
Space group Fd-3m (No. 227, origin choice 2)
Inequivalent atoms, fractional coordinates:
Ba  0.0000  0.0000  0.0000  6 Ba 3.71
Dy  0.1250  0.1250  0.6250  12 Ba 4.35, 4 Dy 4.54

Values from the calculation:
Crystal system: cubic
Total magnetic moment, μB/cell: 0.067
DFT total energy, eV/atom: -2.268



No. 3
## Ba2Dy (PBE)

Data for crystalline Ba2Dy at its relaxed geometry.

abc: 15.8959 15.8959 15.8959
angles: 90.00 90.00 90.00
Closest atoms and distances in Å follow each position.
Space group Fd-3m (No. 227, origin choice 2)
Inequivalent atoms, fractional coordinates:
Ba  0.0000  0.0000  0.0000  2 Dy 3.44
Dy  0.1250  0.1250  0.1250  4 Ba 3.44

Values from the calculation:
Crystal system: cubic
Total magnetic moment, μB/cell: 40.006
DFT total energy, eV/atom: -1.304



No. 4
## BaDy2 (PBE)

Data for crystalline BaDy2 at its relaxed geometry.

abc: 9.9754 9.9754 9.9754
angles: 90.00 90.00 90.00
Closest atoms and distances in Å follow each position.
Space group Fd-3m (No. 227, origin choice 2)
Inequivalent atoms, fractional coordinates:
Ba  0.1250  0.1250  0.1250  12 Dy 4.14, 4 Ba 4.32
Dy  0.0000  0.0000  0.5000  6 Dy 3.53

Values from the calculation:
Crystal system: cubic
Total magnetic moment, μB/cell: 3.066
DFT total energy, eV/atom: -3.375



Number 4 is which compound? BaDy2



The highest DFT total energy belongs to which entry? number 3